# LuPaAu, optimized geometry, DFT PBE-GGA
# * magnetic moment: 1.111 μB/cell
# * formation energy: 52 kJ/mol of atoms
data_LuPaAu
_symmetry_space_group_name_H-M 'P 1'
_symmetry_Int_Tables_number 1
_cell_length_a 4.7721
_cell_length_b 4.7721
_cell_length_c 4.7721
_cell_angle_alpha 60.00
_cell_angle_beta 60.00
_cell_angle_gamma 60.00
loop_
_symmetry_equiv_pos_as_xyz
'x,y,z'
loop_
_atom_site_label
_atom_site_fract_x
_atom_site_fract_y
_atom_site_fract_z
Au1 0.2500 0.2500 0.2500
Lu1 0.0000 0.0000 0.0000
Pa1 0.7500 0.7500 0.7500